Compound: RbGa4Ge4
Source: Alexandria via LeMat-Bulk
Functional: GGA-PBE
Structure: optimized geometry

Structure (extended XYZ):
```
18
Lattice="6.783 0.000 0.000 0.000 6.783 0.000 0.000 0.000 9.050" Properties=species:S:1:pos:R:3 pbc="T T T"
Rb 1.696 5.087 2.262
Rb 5.087 1.696 6.787
Ga 0.132 1.696 0.957
Ga 1.696 0.132 5.482
Ga 1.696 3.259 5.482
Ga 3.259 1.696 0.957
Ga 3.524 5.087 8.093
Ga 5.087 3.524 3.568
Ga 5.087 6.651 3.568
Ga 6.651 5.087 8.093
Ge 0.349 1.696 3.627
Ge 1.696 0.349 8.152
Ge 1.696 3.042 8.152
Ge 3.042 1.696 3.627
Ge 3.741 5.087 5.422
Ge 5.087 3.741 0.897
Ge 5.087 6.433 0.897
Ge 6.433 5.087 5.422
```

Summary:
Energy relative to the elements ... 37 meV/atom